1.
# CaCo4P2 (GGA-PBE, optimized geometry)
data_CaCo4P2
_chemical_formula_sum 'Ca2 Co8 P4'
_space_group_name_H-M_alt 'P 42/m n m'
_space_group_IT_number 136
_space_group_name_Hall '-P 4n 2n'
_cell_length_a 7.0856
_cell_length_b 7.0856
_cell_length_c 3.5047
_cell_angle_alpha 90.00
_cell_angle_beta 90.00
_cell_angle_gamma 90.00
loop_
_atom_site_label
_atom_site_fract_x
_atom_site_fract_y
_atom_site_fract_z
Ca1 0.0000 0.0000 0.0000
Co1 0.0789 0.3404 0.5000
P1 0.2270 0.7730 0.5000
# Energy of formation from the pure elements (kJ/mol of atoms): -58
# Raw total energy (eV per atom): -6.491

=====

2.
# Cd2TcAgIr (GGA-PBE, optimized geometry)
data_Cd2TcAgIr
_chemical_formula_sum 'Cd2 Tc1 Ag1 Ir1'
_space_group_name_H-M_alt 'P 4/m m m'
_space_group_IT_number 123
_space_group_name_Hall '-P 4 2'
_cell_length_a 5.1503
_cell_length_b 5.1503
_cell_length_c 4.7184
_cell_angle_alpha 90.00
_cell_angle_beta 90.00
_cell_angle_gamma 90.00
loop_
_atom_site_label
_atom_site_fract_x
_atom_site_fract_y
_atom_site_fract_z
Cd1 0.0000 0.5000 0.0000
Tc1 0.0000 0.0000 0.5000
Ag1 0.5000 0.5000 0.5000
Ir1 0.0000 0.0000 0.0000
# Energy of formation from the pure elements (kJ/mol of atoms): 90
# Raw total energy (eV per atom): -3.846

=====

3.
# CoCBr3 (GGA-PBE, optimized geometry)
data_CoCBr3
_chemical_formula_sum 'Co1 C1 Br3'
_space_group_name_H-M_alt 'P m -3 m'
_space_group_IT_number 221
_space_group_name_Hall '-P 4 2 3'
_cell_length_a 4.7258
_cell_length_b 4.7258
_cell_length_c 4.7258
_cell_angle_alpha 90.00
_cell_angle_beta 90.00
_cell_angle_gamma 90.00
loop_
_atom_site_label
_atom_site_fract_x
_atom_site_fract_y
_atom_site_fract_z
Co1 0.0000 0.0000 0.0000
C1 0.5000 0.5000 0.5000
Br1 0.0000 0.5000 0.5000
# Raw formation energy (meV/atom): 1438.0
# Raw total energy (eV per atom): -2.832

=====

4.
# HoTm2Zn3 (GGA-PBE, optimized geometry)
data_HoTm2Zn3
_chemical_formula_sum 'Ho1 Tm2 Zn3'
_space_group_name_H-M_alt 'P -3 m 1'
_space_group_IT_number 164
_space_group_name_Hall '-P 3 2"'
_cell_length_a 4.9917
_cell_length_b 4.9917
_cell_length_c 6.1284
_cell_angle_alpha 90.00
_cell_angle_beta 90.00
_cell_angle_gamma 120.00
loop_
_atom_site_label
_atom_site_fract_x
_atom_site_fract_y
_atom_site_fract_z
Ho1 0.0000 0.0000 0.0000
Tm1 0.3333 0.6667 0.6639
Zn1 0.0000 0.0000 0.5000
Zn2 0.3333 0.6667 0.1662
# Energy of formation from the pure elements (kJ/mol of atoms): -34
# Raw total energy (eV per atom): -3.241